VASP calculation (PBE) on Tb5PbSe4 after structural relaxation.

For the uncorrected formation energy, the calculation gives -15.249 eV per formula unit.

It has space group I4/m (No. 87), with a = 9.344 Å, b = 9.344 Å, c = 5.908 Å, α = 90.00°, β = 90.00° and γ = 90.00°. The inequivalent atoms are Tb at (0.000, 0.000, 0.000), Tb at (0.101, 0.691, 0.500), Pb at (0.000, 0.000, 0.500) and Se at (0.104, 0.701, 0.000).



VASP calculation (PBE) on La3Pr3Y2 after structural relaxation.

For the polymorph energy (0 for the lowest one), the calculation gives 0.40 eV per formula unit. The value obtained for the energy relative to the elements is 0.07 eV per atom.

It has space group C2/m (No. 12), with a = 16.964 Å, b = 5.911 Å, c = 6.151 Å, α = 90.00°, β = 111.01° and γ = 90.00°. The inequivalent atoms are La at (0.000, 0.000, 0.000), La at (0.134, 0.000, 0.579), Pr at (0.000, 0.500, 0.500), Pr at (0.136, 0.500, 0.190) and Y at (0.249, 0.500, 0.816).



VASP calculation (PBE) on LiBiPd2 after structural relaxation.

The value obtained for the energy relative to the elements is -0.33 eV per atom.

It has space group P4/mmm (No. 123), with a = 3.460 Å, b = 3.460 Å, c = 6.006 Å, α = 90.00°, β = 90.00° and γ = 90.00°. The inequivalent atoms are Li at (0.000, 0.000, 0.000), Bi at (0.000, 0.000, 0.500) and Pd at (0.500, 0.500, 0.232).



VASP calculation (PBE) on CdSnH2 after structural relaxation.

For the polymorph energy (0 for the lowest one), the calculation gives 1.18 eV per formula unit.

It has space group R3m (No. 160, hexagonal axes), with a = 3.5530 Å, b = 3.5530 Å, c = 16.6471 Å, α = 90.00°, β = 90.00° and γ = 120.00°. The inequivalent atoms are Cd at (0.0000, 0.0000, 0.0000), Sn at (0.0000, 0.0000, 0.8148), H at (0.0000, 0.0000, 0.3053) and H at (0.0000, 0.0000, 0.5193).



VASP calculation (PBE) on LiErAl2Pd4 after structural relaxation.

The value obtained for the energy relative to the elements is -0.84 eV per atom.

It has space group R-3m (No. 166, hexagonal axes), with a = 4.3181 Å, b = 4.3181 Å, c = 24.1444 Å, α = 90.00°, β = 90.00° and γ = 120.00°. The inequivalent atoms are Li at (0.0000, 0.0000, 0.0000), Er at (0.0000, 0.0000, 0.5000), Al at (0.0000, 0.0000, 0.2619), Pd at (0.0000, 0.0000, 0.1030) and Pd at (0.0000, 0.0000, 0.3714).



VASP calculation (PBE) on EuThH after structural relaxation.

As for the calculated total energy: -21.31 eV for the cell shown.

It has space group P3m1 (No. 156), with a = 3.6294 Å, b = 3.6294 Å, c = 6.2183 Å, α = 90.00°, β = 90.00° and γ = 120.00°. The inequivalent atoms are Eu at (0.0000, 0.0000, 0.0000), Th at (0.6667, 0.3333, 0.5103) and H at (0.3333, 0.6667, 0.7396).



VASP calculation (PBE) on SrLa2Cu after structural relaxation.

For the polymorph energy (0 for the lowest one), the calculation gives 1.06 eV per formula unit. The value obtained for the energy relative to the elements is 0.27 eV per atom.

It has space group I4/mmm (No. 139), with a = 4.750 Å, b = 4.750 Å, c = 11.326 Å, α = 90.00°, β = 90.00° and γ = 90.00°. The inequivalent atoms are Sr at (0.000, 0.000, 0.000), La at (0.000, 0.500, 0.250) and Cu at (0.000, 0.000, 0.500).



VASP calculation (PBE) on AsH2S6 after structural relaxation.

As for the calculated total energy: -140.60 eV for the cell shown.

It has space group C2/c (No. 15), with a = 12.564 Å, b = 10.882 Å, c = 8.828 Å, α = 90.00°, β = 133.02° and γ = 90.00°. The inequivalent atoms are As at (0.000, 0.090, 0.250), H at (0.138, 0.351, 0.986), S at (0.084, 0.150, 0.067), S at (0.094, 0.230, 0.507) and S at (0.112, 0.440, 0.855).



VASP calculation (PBE) on Mn2RuSe after structural relaxation.

For the uncorrected formation energy, the calculation gives 0.653 eV per formula unit.

It has space group Pm (No. 6), with a = 3.205 Å, b = 3.966 Å, c = 5.158 Å, α = 90.00°, β = 108.02° and γ = 90.00°. The inequivalent atoms are Mn at (0.000, 0.000, 0.000), Mn at (0.323, 0.500, 0.646), Ru at (0.583, 0.500, 0.165) and Se at (0.741, 0.000, 0.481).



no.,total magnetic moment (μB per formula unit)
1,0.00
2,0.00
3,0.00
4,0.00
5,0.00
6,7.80
7,0.00
8,0.00
9,7.68